(1)
Density functional theory data (GGA-PBE) for Li2YAgN after structural relaxation.

Cell: 4.299 4.299 4.628 Å, 90.00 90.00 90.00°
Fractional positions:
Li (0.000, 0.500, 0.000)
Li (0.500, 0.000, 0.000)
Y (0.000, 0.000, 0.500)
Ag (0.500, 0.500, 0.500)
N (0.000, 0.000, 0.000)

Computed properties:
E_form (uncorrected): -0.48 eV/atom
volume: 17.11 Å³ per atom
DOS(E_F): 3.1 states/eV/cell
total moment: 0.00 μB per cell

(2)
Density functional theory data (GGA-PBE) for Ti3SnSb3 after structural relaxation.

Cell: 8.631 8.631 4.974 Å, 90.00 90.00 120.00°
Fractional positions:
Ti (0.064, 0.237, 0.250)
Ti (0.174, 0.936, 0.250)
Ti (0.237, 0.174, 0.750)
Ti (0.763, 0.826, 0.250)
Ti (0.826, 0.064, 0.750)
Ti (0.936, 0.763, 0.750)
Sn (0.333, 0.667, 0.250)
Sn (0.667, 0.333, 0.750)
Sb (0.096, 0.410, 0.750)
Sb (0.314, 0.904, 0.750)
Sb (0.410, 0.314, 0.250)
Sb (0.590, 0.686, 0.750)
Sb (0.686, 0.096, 0.250)
Sb (0.904, 0.590, 0.250)

Computed properties:
E_form (uncorrected): -0.14 eV/atom
volume: 22.92 Å³ per atom
DOS(E_F): 15.5 states/eV/cell
total moment: 0.00 μB per cell

(3)
Density functional theory data (GGA-PBE) for ScBeBr after structural relaxation.

Cell: 3.455 3.455 7.348 Å, 90.00 90.00 120.00°
Fractional positions:
Sc (0.000, 0.000, 0.000)
Be (0.667, 0.333, 0.238)
Br (0.333, 0.667, 0.749)

Computed properties:
E_form (uncorrected): -0.13 eV/atom
volume: 25.32 Å³ per atom
DOS(E_F): 0.2 states/eV/cell
total moment: 0.00 μB per cell
E above lowest polymorph: 0 meV per atom

(4)
Density functional theory data (GGA-PBE) for TmNpHg2 after structural relaxation.

Cell: 5.459 5.459 3.407 Å, 90.00 90.00 90.00°
Fractional positions:
Tm (0.000, 0.000, 0.000)
Np (0.500, 0.500, 0.000)
Hg (0.000, 0.500, 0.500)
Hg (0.500, 0.000, 0.500)

Computed properties:
calculated formation energy: -0.040 eV/atom
volume: 25.38 Å³ per atom
DOS(E_F): 8.3 states/eV/cell
total moment: 4.83 μB per cell
E above lowest polymorph: 20 meV per atom

(5)
Density functional theory data (GGA-PBE) for Sm3Y2Sc2 after structural relaxation.

Cell: 11.047 4.960 7.873 Å, 90.00 98.44 90.00°
Fractional positions:
Sm (0.000, 0.000, 0.000)
Sm (0.215, 0.500, 0.142)
Sm (0.285, 0.000, 0.858)
Sm (0.500, 0.500, 0.000)
Sm (0.715, 0.000, 0.142)
Sm (0.785, 0.500, 0.858)
Y (0.141, 0.000, 0.428)
Y (0.359, 0.500, 0.572)
Y (0.641, 0.500, 0.428)
Y (0.859, 0.000, 0.572)
Sc (0.072, 0.500, 0.707)
Sc (0.428, 0.000, 0.293)
Sc (0.572, 0.000, 0.707)
Sc (0.928, 0.500, 0.293)

Computed properties:
calculated formation energy: 0.047 eV/atom
volume: 30.48 Å³ per atom
DOS(E_F): 21.4 states/eV/cell
total moment: 0.00 μB per cell
E above lowest polymorph: 0 meV per atom

(6)
Density functional theory data (GGA-PBE) for HRuCN after structural relaxation.

Cell: 5.875 2.984 4.197 Å, 90.00 107.65 90.00°
Fractional positions:
H (0.000, 0.000, 0.000)
H (0.500, 0.500, 0.000)
Ru (0.074, 0.500, 0.582)
Ru (0.574, 0.000, 0.582)
C (0.319, 0.500, 0.029)
C (0.819, 0.000, 0.029)
N (0.327, 0.500, 0.350)
N (0.827, 0.000, 0.350)

Computed properties:
volume: 8.76 Å³ per atom
DOS(E_F): 0.7 states/eV/cell
total moment: 0.00 μB per cell
E above lowest polymorph: 155 meV per atom

Which value of DOS(E_F) does entry 4 give?
8.3 states/eV/cell